# TlIF2 GGA-PBE optimized geometry
data_TlIF2
_cell_length_a 5.880
_cell_length_b 6.742
_cell_length_c 12.831
_cell_angle_alpha 90.00
_cell_angle_beta 117.24
_cell_angle_gamma 90.00
_space_group_name_H-M_alt 'P 1 21/c 1'
_space_group_IT_number 14
_space_group_name_Hall '-P 2ybc'
loop_
_atom_site_label
_atom_site_fract_x
_atom_site_fract_y
_atom_site_fract_z
Tl1 0.157 0.000 0.407
I1 0.263 0.249 0.250
F1 0.134 0.667 0.056
F2 0.477 0.167 0.556
# Energy above the most stable polymorph in this dataset   0.066 eV per atom
# Total magnetization   0.0 μB per cell
# Formation energy from raw total energies   -29.67 kcal/mol of atoms



# Tl5IF4 GGA-PBE optimized geometry
data_Tl5IF4
_cell_length_a 13.298
_cell_length_b 4.051
_cell_length_c 11.283
_cell_angle_alpha 90.00
_cell_angle_beta 116.16
_cell_angle_gamma 90.00
_space_group_name_H-M_alt 'C 1 2/m 1'
_space_group_IT_number 12
_space_group_name_Hall '-C 2y'
loop_
_atom_site_label
_atom_site_fract_x
_atom_site_fract_y
_atom_site_fract_z
Tl1 0.000 0.000 0.000
Tl2 0.139 0.500 0.350
Tl3 0.181 0.000 0.820
I1 0.000 0.000 0.500
F1 0.048 0.500 0.851
F2 0.195 0.000 0.229
# Total magnetization   0.0 μB per cell
# Formation energy from raw total energies   -34.32 kcal/mol of atoms



total magnetization of number 1 (TlIF2)? 0.0 μB per cell



Look up the total magnetization of the first one. 0.0 μB per cell



Look up the total magnetization of the first one. 0.0 μB per cell